#a
Compound: Li2FeCuO4
Source: Alexandria via LeMat-Bulk
Functional: PBE with a Hubbard U
Structure: optimized geometry

Computed properties:
Symmetry: P2/m, No. 10

extended XYZ file:
```
8
Lattice="2.9628 0.0000 0.0000 0.0000 5.0990 0.0017 0.0000 1.7125 4.8766" Properties=species:S:1:pos:R:3 pbc="T T T"
Li 0.0000 0.0000 0.0000
Li 1.4814 2.5495 0.0009
Fe 1.4814 0.8562 2.4383
Cu 0.0000 3.4058 2.4392
O 0.0000 5.1180 3.5729
O 1.4814 2.5677 3.5605
O 0.0000 1.6936 1.3055
O 1.4814 4.2438 1.3179
```


#b
Compound: Li2FeCuO4
Source: Alexandria via LeMat-Bulk
Functional: PBE with a Hubbard U
Structure: optimized geometry

Computed properties:
Symmetry: I-4m2, No. 119

extended XYZ file:
```
8
Lattice="-3.1783 0.4983 2.6016 2.5645 -0.4386 3.2170 0.9819 4.1262 -2.8808" Properties=species:S:1:pos:R:3 pbc="T T T"
Li 1.6198 1.8587 1.6228
Li -0.3069 0.0299 2.9093
Fe 0.0000 0.0000 0.0000
Cu -1.2517 2.3272 1.3151
O -0.9435 4.2245 1.3281
O -1.5598 0.4298 1.3020
O 0.0488 2.2202 2.9244
O 0.3192 1.9657 0.0135
```


If we sort the structures by their calculated energies, the order from most to least stable is #b, #a.


#a
Compound: Li5Fe3Cu2O10
Source: Alexandria via LeMat-Bulk
Functional: PBE with a Hubbard U
Structure: optimized geometry

Computed properties:
Symmetry: P-1, No. 2

extended XYZ file:
```
20
Lattice="-3.3260 -4.4190 3.5093 5.6849 -0.2397 -2.5184 1.9943 1.3281 6.6586" Properties=species:S:1:pos:R:3 pbc="T T T"
Li -0.5146 -1.4925 3.6743
Li 5.0715 0.2517 2.7633
Li 2.1766 -1.6653 3.8247
Li -0.7184 -3.5823 4.8861
Li 4.8677 -1.8380 3.9751
Fe 2.8424 -0.1198 -1.2592
Fe 1.9567 0.7463 5.2838
Fe 2.3965 -4.0769 2.3656
Cu 1.8985 -1.5990 6.6016
Cu 2.4546 -1.7315 1.0478
O 1.4010 -0.3853 0.2038
O 5.3014 -0.9561 5.8612
O -0.7397 -3.6527 6.8148
O 3.5628 -2.3977 2.4325
O 3.6658 0.0029 4.0984
O 0.6874 -3.3335 3.5510
O 0.7904 -0.9328 5.2169
O 5.0929 0.3221 0.8347
O -0.9482 -2.3745 1.7882
O 2.9522 -2.9452 7.4456
```


#b
Compound: Li5Fe3Cu2O10
Source: Alexandria via LeMat-Bulk
Functional: PBE with a Hubbard U
Structure: optimized geometry

Computed properties:
Symmetry: P-1, No. 2

extended XYZ file:
```
20
Lattice="5.0668 -0.0249 0.0006 -0.9080 5.0318 0.0075 -1.6395 -2.8407 7.1369" Properties=species:S:1:pos:R:3 pbc="T T T"
Li -0.4025 3.3353 2.9338
Li 0.3926 -0.7846 5.5477
Li 1.2597 1.0831 3.5725
Li 2.1267 2.9507 1.5973
Li 2.9218 -1.1692 4.2112
Fe -0.4540 2.5159 0.0037
Fe 1.2291 1.9387 6.3460
Fe 1.2903 0.2275 0.7989
Cu -1.2674 1.5388 4.9361
Cu 3.7867 0.6274 2.2089
O -1.2753 -1.8884 6.1693
O -0.5053 0.8752 6.7504
O -0.4851 0.0312 3.8828
O 0.3417 1.7898 1.6268
O 0.3851 2.6219 4.7189
O 2.1342 -0.4557 2.4261
O 2.1776 0.3764 5.5182
O 3.0044 2.1350 3.2622
O 3.0246 1.2909 0.3946
O 3.7946 4.0546 0.9756
```


If we sort the structures by their calculated energies, the order from most to least stable is #b, #a.